A | # KTc2Ni

A relaxed KTc2Ni crystal (GGA-PBE, Alexandria).

a = 2.696 Å, b = 4.028 Å, c = 7.627 Å
α = 90.00°, β = 90.00°, γ = 90.00°
Element x y z (fractional)
K 0.000 0.000 0.000
Tc 0.500 0.500 0.357
Tc 0.500 0.500 0.643
Ni 0.000 0.000 0.500

## Properties
The space-group type is No. 47. The volume comes out at 20.706 Å³ per atom.

B | # KTc2Ni

A relaxed KTc2Ni crystal (GGA-PBE, Alexandria).

a = 10.317 Å, b = 10.317 Å, c = 10.317 Å
α = 15.28°, β = 15.28°, γ = 15.28°
Element x y z (fractional)
K 0.000 0.000 0.000
Tc 0.234 0.234 0.234
Tc 0.766 0.766 0.766
Ni 0.500 0.500 0.500

## Properties
The space-group type is No. 166. The volume comes out at 16.609 Å³ per atom.

Energies relative to the minimum, eV/atom: A 0.000; B 0.044

A | # KTc2Ni

A relaxed KTc2Ni crystal (GGA-PBE, Alexandria).

a = 5.642 Å, b = 5.642 Å, c = 5.642 Å
α = 141.72°, β = 141.72°, γ = 55.24°
Element x y z (fractional)
K 0.000 0.000 0.000
Tc 0.250 0.750 0.500
Tc 0.750 0.250 0.500
Ni 0.500 0.500 0.000

## Properties
The space-group type is No. 139. The volume comes out at 17.099 Å³ per atom.

B | # KTc2Ni

A relaxed KTc2Ni crystal (GGA-PBE, Alexandria).

a = 5.035 Å, b = 5.035 Å, c = 2.590 Å
α = 90.00°, β = 90.00°, γ = 90.00°
Element x y z (fractional)
K 0.000 0.000 0.000
Tc 0.000 0.500 0.500
Tc 0.500 0.000 0.500
Ni 0.500 0.500 0.000

## Properties
The space-group type is No. 123. The volume comes out at 16.418 Å³ per atom.

Energies relative to the minimum, eV/atom: A 0.000; B 0.227

A | # KTc2Ni

A relaxed KTc2Ni crystal (GGA-PBE, Alexandria).

a = 4.502 Å, b = 4.502 Å, c = 4.502 Å
α = 60.00°, β = 60.00°, γ = 60.00°
Element x y z (fractional)
K 0.000 0.000 0.000
Tc 0.250 0.250 0.250
Tc 0.500 0.500 0.500
Ni 0.750 0.750 0.750

## Properties
The space-group type is No. 216. The volume comes out at 16.130 Å³ per atom.

B | # KTc2Ni

A relaxed KTc2Ni crystal (GGA-PBE, Alexandria).

a = 5.621 Å, b = 5.621 Å, c = 5.621 Å
α = 148.44°, β = 121.02°, γ = 68.45°
Element x y z (fractional)
K 0.000 0.000 0.000
Tc 0.504 0.504 0.000
Tc 0.692 0.192 0.500
Ni 0.295 0.795 0.500

## Properties
The space-group type is No. 44. The volume comes out at 19.664 Å³ per atom.

Energies relative to the minimum, eV/atom: A 0.128; B 0.000

A | # KTc2Ni

A relaxed KTc2Ni crystal (GGA-PBE, Alexandria).

a = 2.689 Å, b = 4.047 Å, c = 7.697 Å
α = 90.00°, β = 99.39°, γ = 90.00°
Element x y z (fractional)
K 0.000 0.000 0.000
Tc 0.431 0.500 0.356
Tc 0.569 0.500 0.644
Ni 0.000 0.000 0.500

## Properties
The space-group type is No. 10. The volume comes out at 20.658 Å³ per atom.

B | # KTc2Ni

A relaxed KTc2Ni crystal (GGA-PBE, Alexandria).

a = 5.694 Å, b = 5.694 Å, c = 2.526 Å
α = 90.00°, β = 90.00°, γ = 125.31°
Element x y z (fractional)
K 0.000 0.000 0.000
Tc 0.000 0.500 0.500
Tc 0.500 0.000 0.500
Ni 0.500 0.500 0.000

## Properties
The space-group type is No. 65. The volume comes out at 16.707 Å³ per atom.

C | # KTc2Ni

A relaxed KTc2Ni crystal (GGA-PBE, Alexandria).

a = 4.458 Å, b = 4.458 Å, c = 4.458 Å
α = 60.00°, β = 60.00°, γ = 60.00°
Element x y z (fractional)
K 0.000 0.000 0.000
Tc 0.250 0.250 0.250
Tc 0.750 0.750 0.750
Ni 0.500 0.500 0.500

## Properties
The space-group type is No. 225. The volume comes out at 15.665 Å³ per atom.

D | # KTc2Ni

A relaxed KTc2Ni crystal (GGA-PBE, Alexandria).

a = 4.467 Å, b = 4.467 Å, c = 7.291 Å
α = 91.47°, β = 91.47°, γ = 34.07°
Element x y z (fractional)
K 0.000 0.000 0.000
Tc 0.238 0.238 0.637
Tc 0.482 0.482 0.486
Ni 0.753 0.753 0.336

## Properties
The space-group type is No. 8. The volume comes out at 20.371 Å³ per atom.

Energies relative to the minimum, eV/atom: A 0.070; B 0.474; C 0.969; D 0.000

A | # KTc2Ni

A relaxed KTc2Ni crystal (GGA-PBE, Alexandria).

a = 2.621 Å, b = 2.621 Å, c = 9.784 Å
α = 90.00°, β = 90.00°, γ = 90.00°
Element x y z (fractional)
K 0.000 0.000 0.000
Tc 0.500 0.500 0.308
Tc 0.500 0.500 0.692
Ni 0.000 0.000 0.500

## Properties
The space-group type is No. 123. The volume comes out at 16.801 Å³ per atom.

B | # KTc2Ni

A relaxed KTc2Ni crystal (GGA-PBE, Alexandria).

a = 2.712 Å, b = 3.740 Å, c = 7.820 Å
α = 90.00°, β = 90.00°, γ = 90.00°
Element x y z (fractional)
K 0.000 0.000 0.000
Tc 0.000 0.000 0.477
Tc 0.500 0.500 0.635
Ni 0.500 0.500 0.320

## Properties
The space-group type is No. 25. The volume comes out at 19.833 Å³ per atom.

Energies relative to the minimum, eV/atom: A 0.127; B 0.000

A | # KTc2Ni

A relaxed KTc2Ni crystal (GGA-PBE, Alexandria).

a = 3.043 Å, b = 3.043 Å, c = 8.367 Å
α = 90.00°, β = 90.00°, γ = 90.00°
Element x y z (fractional)
K 0.000 0.000 0.000
Tc 0.000 0.000 0.478
Tc 0.500 0.500 0.638
Ni 0.500 0.500 0.301

## Properties
The space-group type is No. 99. The volume comes out at 19.370 Å³ per atom.

B | # KTc2Ni

A relaxed KTc2Ni crystal (GGA-PBE, Alexandria).

a = 2.712 Å, b = 3.792 Å, c = 7.830 Å
α = 90.00°, β = 95.13°, γ = 90.00°
Element x y z (fractional)
K 0.000 0.000 0.000
Tc 0.149 0.000 0.475
Tc 0.521 0.500 0.636
Ni 0.585 0.500 0.320

## Properties
The space-group type is No. 6. The volume comes out at 20.048 Å³ per atom.

C | # KTc2Ni

A relaxed KTc2Ni crystal (GGA-PBE, Alexandria).

a = 3.112 Å, b = 3.112 Å, c = 8.021 Å
α = 90.00°, β = 90.00°, γ = 90.00°
Element x y z (fractional)
K 0.000 0.000 0.000
Tc 0.500 0.500 0.351
Tc 0.500 0.500 0.649
Ni 0.000 0.000 0.500

## Properties
The space-group type is No. 123. The volume comes out at 19.424 Å³ per atom.

D | # KTc2Ni

A relaxed KTc2Ni crystal (GGA-PBE, Alexandria).

a = 9.383 Å, b = 9.383 Å, c = 9.383 Å
α = 151.23°, β = 151.23°, γ = 41.14°
Element x y z (fractional)
K 0.000 0.000 0.000
K 0.750 0.250 0.500
Tc 0.357 0.125 0.732
Tc 0.375 0.643 0.768
Tc 0.393 0.625 0.268
Tc 0.875 0.607 0.232
Ni 0.250 0.750 0.500
Ni 0.500 0.500 0.000

## Properties
The space-group type is No. 122. The volume comes out at 23.876 Å³ per atom.

Energies relative to the minimum, eV/atom: A 0.000; B 0.006; C 0.231; D 0.771

A | # KTcNi2

A relaxed KTcNi2 crystal (GGA-PBE, Alexandria).

a = 9.820 Å, b = 9.820 Å, c = 9.820 Å
α = 16.03°, β = 16.03°, γ = 16.03°
Element x y z (fractional)
K 0.000 0.000 0.000
Tc 0.228 0.228 0.228
Ni 0.493 0.493 0.493
Ni 0.760 0.760 0.760

## Properties
The space-group type is No. 160. The volume comes out at 15.730 Å³ per atom.

B | # KTcNi2

A relaxed KTcNi2 crystal (GGA-PBE, Alexandria).

a = 4.551 Å, b = 4.551 Å, c = 4.551 Å
α = 60.00°, β = 60.00°, γ = 60.00°
Element x y z (fractional)
K 0.000 0.000 0.000
Tc 0.500 0.500 0.500
Ni 0.250 0.250 0.250
Ni 0.750 0.750 0.750

## Properties
The space-group type is No. 225. The volume comes out at 16.666 Å³ per atom.

Energies relative to the minimum, eV/atom: A 0.000; B 0.445

A | # KTcNi2

A relaxed KTcNi2 crystal (GGA-PBE, Alexandria).

a = 2.834 Å, b = 2.834 Å, c = 8.369 Å
α = 90.00°, β = 90.00°, γ = 90.00°
Element x y z (fractional)
K 0.000 0.000 0.000
Tc 0.000 0.000 0.500
Ni 0.500 0.500 0.315
Ni 0.500 0.500 0.685

## Properties
The space-group type is No. 123. The volume comes out at 16.804 Å³ per atom.

B | # KTcNi2

A relaxed KTcNi2 crystal (GGA-PBE, Alexandria).

a = 2.676 Å, b = 2.676 Å, c = 9.003 Å
α = 90.00°, β = 90.00°, γ = 90.00°
Element x y z (fractional)
K 0.000 0.000 0.000
Tc 0.500 0.500 0.661
Ni 0.000 0.000 0.467
Ni 0.500 0.500 0.292

## Properties
The space-group type is No. 99. The volume comes out at 16.115 Å³ per atom.

Energies relative to the minimum, eV/atom: A 0.000; B 0.154

A | # KTcNi2

A relaxed KTcNi2 crystal (GGA-PBE, Alexandria).

a = 4.455 Å, b = 4.455 Å, c = 6.787 Å
α = 95.18°, β = 95.18°, γ = 34.81°
Element x y z (fractional)
K 0.000 0.000 0.000
Tc 0.781 0.781 0.393
Ni 0.231 0.231 0.676
Ni 0.514 0.514 0.505

## Properties
The space-group type is No. 8. The volume comes out at 19.136 Å³ per atom.

B | # KTcNi2

A relaxed KTcNi2 crystal (GGA-PBE, Alexandria).

a = 4.293 Å, b = 4.293 Å, c = 7.037 Å
α = 93.27°, β = 93.27°, γ = 35.54°
Element x y z (fractional)
K 0.000 0.000 0.000
Tc 0.500 0.500 0.500
Ni 0.241 0.241 0.648
Ni 0.759 0.759 0.352

## Properties
The space-group type is No. 12. The volume comes out at 18.812 Å³ per atom.

Energies relative to the minimum, eV/atom: A 0.108; B 0.000

A | # KTcNi2

A relaxed KTcNi2 crystal (GGA-PBE, Alexandria).

a = 2.610 Å, b = 4.756 Å, c = 5.256 Å
α = 90.00°, β = 90.00°, γ = 90.00°
Element x y z (fractional)
K 0.000 0.000 0.000
Tc 0.500 0.000 0.500
Ni 0.000 0.500 0.500
Ni 0.500 0.500 0.000

## Properties
The space-group type is No. 47. The volume comes out at 16.312 Å³ per atom.

B | # KTcNi2

A relaxed KTcNi2 crystal (GGA-PBE, Alexandria).

a = 5.178 Å, b = 5.178 Å, c = 5.178 Å
α = 136.29°, β = 136.29°, γ = 63.54°
Element x y z (fractional)
K 0.000 0.000 0.000
Tc 0.750 0.250 0.500
Ni 0.250 0.750 0.500
Ni 0.500 0.500 0.000

## Properties
The space-group type is No. 119. The volume comes out at 16.363 Å³ per atom.

Energies relative to the minimum, eV/atom: A 0.000; B 0.031

A | # KTcNi3

A relaxed KTcNi3 crystal (GGA-PBE, Alexandria).

a = 4.437 Å, b = 4.437 Å, c = 4.437 Å
α = 90.00°, β = 90.00°, γ = 90.00°
Element x y z (fractional)
K 0.000 0.000 0.000
Tc 0.500 0.500 0.500
Ni 0.000 0.000 0.500
Ni 0.000 0.500 0.000
Ni 0.500 0.000 0.000

## Properties
The space-group type is No. 221. The volume comes out at 17.471 Å³ per atom.

B | # KTcNi3

A relaxed KTcNi3 crystal (GGA-PBE, Alexandria).

a = 4.631 Å, b = 4.631 Å, c = 4.631 Å
α = 90.00°, β = 90.00°, γ = 90.00°
Element x y z (fractional)
K 0.000 0.000 0.000
Tc 0.500 0.500 0.500
Ni 0.000 0.500 0.500
Ni 0.500 0.000 0.500
Ni 0.500 0.500 0.000

## Properties
The space-group type is No. 221. The volume comes out at 19.859 Å³ per atom.

Energies relative to the minimum, eV/atom: A 1.294; B 0.000

A | # KNi3Te

A relaxed KNi3Te crystal (GGA-PBE, Alexandria).

a = 4.815 Å, b = 4.815 Å, c = 4.815 Å
α = 90.00°, β = 90.00°, γ = 90.00°
Element x y z (fractional)
K 0.000 0.000 0.000
Ni 0.000 0.500 0.500
Ni 0.500 0.000 0.500
Ni 0.500 0.500 0.000
Te 0.500 0.500 0.500

## Properties
The space-group type is No. 221. The volume comes out at 22.322 Å³ per atom.

B | # KNi3Te

A relaxed KNi3Te crystal (GGA-PBE, Alexandria).

a = 4.601 Å, b = 4.601 Å, c = 4.601 Å
α = 90.00°, β = 90.00°, γ = 90.00°
Element x y z (fractional)
K 0.000 0.000 0.000
Ni 0.000 0.000 0.500
Ni 0.000 0.500 0.000
Ni 0.500 0.000 0.000
Te 0.500 0.500 0.500

## Properties
The space-group type is No. 221. The volume comes out at 19.475 Å³ per atom.

Energies relative to the minimum, eV/atom: A 0.000; B 1.285

A | # KTlNi2

A relaxed KTlNi2 crystal (GGA-PBE, Alexandria).

a = 5.462 Å, b = 5.462 Å, c = 5.462 Å
α = 135.86°, β = 135.86°, γ = 64.20°
Element x y z (fractional)
K 0.000 0.000 0.000
Tl 0.750 0.250 0.500
Ni 0.250 0.750 0.500
Ni 0.500 0.500 0.000

## Properties
The space-group type is No. 119. The volume comes out at 19.489 Å³ per atom.

B | # KTlNi2

A relaxed KTlNi2 crystal (GGA-PBE, Alexandria).

a = 9.202 Å, b = 9.202 Å, c = 9.202 Å
α = 20.85°, β = 20.85°, γ = 20.85°
Element x y z (fractional)
K 0.000 0.000 0.000
Tl 0.500 0.500 0.500
Ni 0.235 0.235 0.235
Ni 0.765 0.765 0.765

## Properties
The space-group type is No. 166. The volume comes out at 21.598 Å³ per atom.

Energies relative to the minimum, eV/atom: A 0.020; B 0.000